1.
The following is a DFT calculation (GGA-PBE) of a relaxed structure of ZnIn2Hg8.

Cell and atoms, written as POSCAR:
```
ZnIn2Hg8
1.0
9.222 -2.510 0.000
9.222 2.510 0.000
-1.693 0.000 6.217
Zn In Hg
1 2 8
direct
0.000 0.000 0.000
0.312 0.312 0.416
0.688 0.688 0.584
0.101 0.101 0.730
0.138 0.138 0.279
0.297 0.297 0.923
0.491 0.491 0.738
0.509 0.509 0.262
0.703 0.703 0.077
0.862 0.862 0.721
0.899 0.899 0.270
```

Calculated values
E_form	0.03	eV/atom
Fermi-level density of states	4.0	states/eV per cell
E_tot	-0.802	eV per atom

2.
The following is a DFT calculation (GGA-PBE) of a relaxed structure of ZnIn2Hg2.

Cell and atoms, written as POSCAR:
```
ZnIn2Hg2
1.0
4.132 0.000 0.000
0.000 4.132 0.000
0.000 0.000 15.920
Zn In Hg
2 4 4
direct
0.000 0.000 0.000
0.500 0.500 0.500
0.000 0.000 0.405
0.000 0.000 0.595
0.500 0.500 0.095
0.500 0.500 0.905
0.000 0.500 0.250
0.000 0.500 0.750
0.500 0.000 0.250
0.500 0.000 0.750
```

Calculated values
E_form	0.18	eV/atom
Fermi-level density of states	3.2	states/eV per cell
polymorph energy (0 for the lowest one)	0.110	eV/atom
E_tot	-1.291	eV per atom

3.
The following is a DFT calculation (GGA-PBE) of a relaxed structure of Zn2InHg.

Cell and atoms, written as POSCAR:
```
Zn2InHg
1.0
5.965 0.000 0.000
0.000 7.326 0.000
-0.571 0.000 3.866
Zn In Hg
4 2 2
direct
0.250 0.250 0.000
0.250 0.750 0.000
0.750 0.250 0.000
0.750 0.750 0.000
0.000 0.000 0.500
0.500 0.500 0.500
0.000 0.500 0.500
0.500 0.000 0.500
```

Calculated values
E_form	0.12	eV/atom
Fermi-level density of states	2.1	states/eV per cell
polymorph energy (0 for the lowest one)	0.034	eV/atom
E_tot	-1.276	eV per atom

4.
The following is a DFT calculation (GGA-PBE) of a relaxed structure of ZnIn2Hg6.

Cell and atoms, written as POSCAR:
```
ZnIn2Hg6
1.0
7.500 -1.791 0.000
7.500 1.791 0.000
-4.771 0.000 8.702
Zn In Hg
1 2 6
direct
0.000 0.000 0.000
0.418 0.418 0.727
0.582 0.582 0.273
0.073 0.073 0.681
0.279 0.279 0.371
0.328 0.328 0.975
0.672 0.672 0.025
0.721 0.721 0.629
0.927 0.927 0.319
```

Calculated values
E_form	0.04	eV/atom
Fermi-level density of states	2.8	states/eV per cell
E_tot	-0.912	eV per atom

5.
The following is a DFT calculation (GGA-PBE) of a relaxed structure of ZnInHg2.

Cell and atoms, written as POSCAR:
```
ZnInHg2
1.0
3.585 0.000 0.000
-1.793 3.105 0.000
0.000 0.000 25.725
Zn In Hg
3 3 6
direct
0.000 0.000 0.000
0.333 0.667 0.667
0.667 0.333 0.333
0.000 0.000 0.500
0.333 0.667 0.167
0.667 0.333 0.833
0.000 0.000 0.259
0.000 0.000 0.741
0.333 0.667 0.408
0.333 0.667 0.925
0.667 0.333 0.075
0.667 0.333 0.592
```

Calculated values
E_form	0.05	eV/atom
Fermi-level density of states	4.7	states/eV per cell
E_tot	-1.100	eV per atom

6.
The following is a DFT calculation (GGA-PBE) of a relaxed structure of ZnIn2Hg3.

Cell and atoms, written as POSCAR:
```
ZnIn2Hg3
1.0
3.771 0.000 0.000
0.000 5.977 0.000
0.000 0.000 13.820
Zn In Hg
2 4 6
direct
0.000 0.000 0.000
0.500 0.500 0.500
0.000 0.000 0.319
0.000 0.000 0.681
0.500 0.500 0.181
0.500 0.500 0.819
0.000 0.500 0.000
0.000 0.500 0.355
0.000 0.500 0.645
0.500 0.000 0.145
0.500 0.000 0.500
0.500 0.000 0.855
```

Calculated values
E_form	0.06	eV/atom
Fermi-level density of states	4.8	states/eV per cell
E_tot	-1.218	eV per atom

7.
The following is a DFT calculation (GGA-PBE) of a relaxed structure of ZnIn6Hg12.

Cell and atoms, written as POSCAR:
```
ZnIn6Hg12
1.0
7.134 4.119 2.814
-7.134 4.119 2.814
0.000 -8.238 2.814
Zn In Hg
1 6 12
direct
0.000 0.000 0.000
0.195 0.305 0.463
0.305 0.463 0.195
0.463 0.195 0.305
0.537 0.805 0.695
0.695 0.537 0.805
0.805 0.695 0.537
0.077 0.600 0.388
0.091 0.151 0.736
0.151 0.736 0.091
0.264 0.909 0.849
0.388 0.077 0.600
0.400 0.612 0.923
0.600 0.388 0.077
0.612 0.923 0.400
0.736 0.091 0.151
0.849 0.264 0.909
0.909 0.849 0.264
0.923 0.400 0.612
```

Calculated values
E_form	0.03	eV/atom
Fermi-level density of states	5.4	states/eV per cell
polymorph energy (0 for the lowest one)	0.000	eV/atom
E_tot	-1.096	eV per atom

8.
The following is a DFT calculation (GGA-PBE) of a relaxed structure of Zn2InHg.

Cell and atoms, written as POSCAR:
```
Zn2InHg
1.0
4.310 0.000 0.000
0.000 4.310 0.000
0.000 0.000 8.891
Zn In Hg
4 2 2
direct
0.000 0.000 0.000
0.000 0.500 0.250
0.500 0.000 0.750
0.500 0.500 0.500
0.000 0.000 0.500
0.500 0.500 0.000
0.000 0.500 0.750
0.500 0.000 0.250
```

Calculated values
E_form	0.13	eV/atom
Fermi-level density of states	3.6	states/eV per cell
polymorph energy (0 for the lowest one)	0.045	eV/atom
E_tot	-1.265	eV per atom